(1)
Here is a geometry-optimized CoBIN2 structure from the Alexandria database. Energies are from GGA-PBE.

space-group type	P4/mmm, No. 123
energy above the lowest structure with this stoichiometry	79	meV per atom
D(E_F)	3.54	states/eV/f.u.
energy	-4.80	eV/atom
formation energy without anion corrections	1595	meV/atom

Lattice parameters (Å, degrees): 3.4956 3.4956 7.8350 90.00 90.00 90.00
Last column: nearest neighbours and their distance in Å.
Sites, in units of the cell vectors:
Co 0.0000 0.0000 0.0000  4 N 1.75
B 0.5000 0.5000 0.5000  4 I 2.47
I 0.0000 0.0000 0.5000  4 B 2.47
N 0.5000 0.0000 0.0000  2 Co 1.75
N 0.0000 0.5000 0.0000  2 Co 1.75

***

(2)
Here is a geometry-optimized CoBIN2 structure from the Alexandria database. Energies are from GGA-PBE.

space-group type	P4/mmm, No. 123
energy above the lowest structure with this stoichiometry	0	meV per atom
D(E_F)	4.64	states/eV/f.u.
energy	-4.88	eV/atom
formation energy without anion corrections	1516	meV/atom

Lattice parameters (Å, degrees): 3.3289 3.3289 7.2217 90.00 90.00 90.00
Last column: nearest neighbours and their distance in Å.
Sites, in units of the cell vectors:
Co 0.5000 0.5000 0.5000  4 I 2.35
I 0.0000 0.0000 0.5000  4 Co 2.35
N 0.0000 0.5000 0.0000  2 B 1.66
B 0.0000 0.0000 0.0000  4 N 1.66
N 0.5000 0.0000 0.0000  2 B 1.66

***

What did the second record say?
Here is a geometry-optimized CoBIN2 structure from the Alexandria database. Energies are from GGA-PBE.

space-group type	P4/mmm, No. 123
energy above the lowest structure with this stoichiometry	0	meV per atom
D(E_F)	4.64	states/eV/f.u.
energy	-4.88	eV/atom
formation energy without anion corrections	1516	meV/atom

Lattice parameters (Å, degrees): 3.3289 3.3289 7.2217 90.00 90.00 90.00
Last column: nearest neighbours and their distance in Å.
Sites, in units of the cell vectors:
Co 0.5000 0.5000 0.5000  4 I 2.35
I 0.0000 0.0000 0.5000  4 Co 2.35
N 0.0000 0.5000 0.0000  2 B 1.66
B 0.0000 0.0000 0.0000  4 N 1.66
N 0.5000 0.0000 0.0000  2 B 1.66

***

Q: Which of these has the lowest energy?
A: number 2

***

Repeat the first record exactly.
Here is a geometry-optimized CoBIN2 structure from the Alexandria database. Energies are from GGA-PBE.

space-group type	P4/mmm, No. 123
energy above the lowest structure with this stoichiometry	79	meV per atom
D(E_F)	3.54	states/eV/f.u.
energy	-4.80	eV/atom
formation energy without anion corrections	1595	meV/atom

Lattice parameters (Å, degrees): 3.4956 3.4956 7.8350 90.00 90.00 90.00
Last column: nearest neighbours and their distance in Å.
Sites, in units of the cell vectors:
Co 0.0000 0.0000 0.0000  4 N 1.75
B 0.5000 0.5000 0.5000  4 I 2.47
I 0.0000 0.0000 0.5000  4 B 2.47
N 0.5000 0.0000 0.0000  2 Co 1.75
N 0.0000 0.5000 0.0000  2 Co 1.75